1.
LiNpSi2 | Alexandria via LeMat-Bulk | PBE | relaxed; M_tot = 3.61 μB/f.u.; D(E_F) = 7.86 states/eV/cell; space group = P4/mmm; ρ = 7.17 g/cm3; electronic total energy = -26.0 eV/cell
1.0
-1.882 -3.256 -1.459
3.152 -2.389 1.265
-1.885 -0.550 3.659
Np Si Li
1 2 1
direct
0.500 0.500 0.500 Np
0.000 0.000 0.500 Si
0.000 0.500 0.000 Si
0.500 0.000 0.000 Li


2.
Y3TaZn | Alexandria via LeMat-Bulk | PBE | relaxed; M_tot = 2.77 μB/f.u.; energy of formation = 0.8191 eV per atom; D(E_F) = 8.31 states/eV/cell; space group = Pm-3m; ρ = 5.71 g/cm3; electronic total energy = -28.4 eV/cell
1.0
5.303 0.000 0.000
0.000 5.303 0.000
0.000 0.000 5.303
Y Zn Ta
3 1 1
direct
0.000 0.500 0.000 Y
0.000 0.000 0.500 Y
0.500 0.000 0.000 Y
0.000 0.000 0.000 Zn
0.500 0.500 0.500 Ta


3.
ErZnCo | Alexandria via LeMat-Bulk | PBE | relaxed; M_tot = 0.00 μB/f.u.; energy of formation = -0.2970 eV per atom; D(E_F) = 13.33 states/eV/cell; space group = Pmma; ρ = 9.23 g/cm3; electronic total energy = -83.0 eV/cell
1.0
3.894 0.000 0.000
0.000 6.905 0.000
0.000 0.000 11.701
Er Zn Co
6 6 6
direct
0.000 0.247 0.956 Er
0.000 0.753 0.044 Er
0.000 0.247 0.544 Er
0.000 0.753 0.456 Er
0.000 0.138 0.250 Er
0.000 0.862 0.750 Er
0.500 0.423 0.133 Zn
0.500 0.577 0.867 Zn
0.500 0.423 0.367 Zn
0.500 0.577 0.633 Zn
0.500 0.790 0.250 Zn
0.500 0.210 0.750 Zn
0.500 0.049 0.091 Co
0.500 0.951 0.909 Co
0.500 0.049 0.409 Co
0.500 0.951 0.591 Co
0.000 0.552 0.250 Co
0.000 0.448 0.750 Co


4.
SrSnHgSb | Alexandria via LeMat-Bulk | PBE | relaxed; M_tot = 0.00 μB/f.u.; D(E_F) = 3.05 states/eV/cell; space group = F-43m; ρ = 7.34 g/cm3; electronic total energy = -11.6 eV/cell
1.0
5.530 0.000 0.000
2.765 4.789 0.000
2.765 1.596 4.516
Sb Hg Sr Sn
1 1 1 1
direct
0.500 0.500 0.500 Sb
0.000 0.000 0.000 Hg
0.750 0.750 0.750 Sr
0.250 0.250 0.250 Sn


5.
NaMgTlSn | Alexandria via LeMat-Bulk | PBE | relaxed; M_tot = 0.00 μB/f.u.; energy of formation = -0.1512 eV per atom; D(E_F) = 1.04 states/eV/cell; space group = F-43m; ρ = 6.02 g/cm3; electronic total energy = -9.9 eV/cell
1.0
-2.496 -0.970 -4.511
2.678 -1.759 -4.154
-0.641 -4.944 -1.633
Mg Na Tl Sn
1 1 1 1
direct
0.000 0.000 0.000 Mg
0.500 0.500 0.500 Na
0.750 0.750 0.750 Tl
0.250 0.250 0.250 Sn


6.
BeSiOs | Alexandria via LeMat-Bulk | PBE | relaxed; M_tot = 0.00 μB/f.u.; D(E_F) = 0.90 states/eV/cell; space group = F-43m; ρ = 8.95 g/cm3; electronic total energy = -20.4 eV/cell
1.0
3.907 0.000 0.000
1.954 3.384 0.000
1.954 1.128 3.190
Be Si Os
1 1 1
direct
0.500 0.500 0.500 Be
0.000 0.000 0.000 Si
0.750 0.750 0.750 Os


7.
Zn2InHg8 | Alexandria via LeMat-Bulk | PBE | relaxed; M_tot = 0.00 μB/f.u.; energy of formation = 0.0644 eV per atom; D(E_F) = 4.13 states/eV/cell; space group = C2/m; ρ = 10.75 g/cm3; electronic total energy = -7.0 eV/cell
1.0
5.154 -0.757 -1.300
-1.868 7.631 -0.047
-0.807 1.669 7.635
Zn In Hg
2 1 8
direct
0.000 0.364 0.636 Zn
0.000 0.636 0.364 Zn
0.500 0.000 0.000 In
0.851 0.980 0.657 Hg
0.851 0.657 0.980 Hg
0.278 0.728 0.728 Hg
0.500 0.670 0.330 Hg
0.500 0.330 0.670 Hg
0.722 0.272 0.272 Hg
0.149 0.343 0.020 Hg
0.149 0.020 0.343 Hg


8.
Li3HRh | Alexandria via LeMat-Bulk | PBE | relaxed; M_tot = 0.79 μB/f.u.; D(E_F) = 2.18 states/eV/cell; space group = Pm-3m; ρ = 3.70 g/cm3; electronic total energy = -16.6 eV/cell
1.0
3.826 0.000 0.000
0.000 3.826 0.000
0.000 0.000 3.826
H Rh Li
1 1 3
direct
0.000 0.000 0.000 H
0.500 0.500 0.500 Rh
0.000 0.500 0.000 Li
0.000 0.000 0.500 Li
0.500 0.000 0.000 Li


9.
MnCr2Ir | Alexandria via LeMat-Bulk | PBE | relaxed; M_tot = 3.11 μB/f.u.; energy of formation = 0.5418 eV per atom; D(E_F) = 9.94 states/eV/cell; space group = I-42d; ρ = 10.57 g/cm3; electronic total energy = -70.2 eV/cell
1.0
-2.646 -1.785 -1.486
1.218 -2.985 1.415
-5.711 -0.997 7.193
Cr Ir Mn
4 2 2
direct
0.585 0.125 0.250 Cr
0.165 0.625 0.250 Cr
0.375 0.415 0.750 Cr
0.875 0.835 0.750 Cr
0.000 0.000 0.000 Ir
0.750 0.250 0.500 Ir
0.500 0.500 0.000 Mn
0.250 0.750 0.500 Mn


10.
BeFe2As | Alexandria via LeMat-Bulk | PBE | relaxed; M_tot = 4.72 μB/f.u.; energy of formation = 0.2454 eV per atom; D(E_F) = 2.25 states/eV/cell; space group = Cmm2; ρ = 6.16 g/cm3; electronic total energy = -24.3 eV/cell
1.0
-0.226 -1.006 2.398
2.597 -0.072 -0.253
0.497 7.201 3.067
Be As Fe
1 1 2
direct
0.500 0.500 0.809 Be
0.000 0.000 0.475 As
0.000 0.000 0.988 Fe
0.500 0.500 0.227 Fe


11.
TbNdGePt | Alexandria via LeMat-Bulk | PBE | relaxed; M_tot = 0.00 μB/f.u.; energy of formation = -1.0252 eV per atom; D(E_F) = 2.18 states/eV/cell; space group = Amm2; ρ = 9.83 g/cm3; electronic total energy = -24.2 eV/cell
1.0
4.040 0.000 0.000
0.000 4.290 0.000
-2.020 0.000 5.563
Tb Nd Ge Pt
1 1 1 1
direct
0.865 0.500 0.730 Tb
0.142 0.000 0.285 Nd
0.577 0.500 0.155 Ge
0.415 0.000 0.830 Pt


12.
Cd6In7Pb16 | Alexandria via LeMat-Bulk | PBE | relaxed; M_tot = 0.00 μB/f.u.; energy of formation = 0.0737 eV per atom; D(E_F) = 13.80 states/eV/cell; space group = Fm-3m; ρ = 9.08 g/cm3; electronic total energy = -81.9 eV/cell
1.0
9.303 0.000 5.371
3.101 8.771 5.371
0.000 0.000 10.742
Cd In Pb
6 7 16
direct
0.250 0.750 0.250 Cd
0.750 0.250 0.750 Cd
0.250 0.750 0.750 Cd
0.750 0.250 0.250 Cd
0.250 0.250 0.750 Cd
0.750 0.750 0.250 Cd
0.500 0.500 0.500 In
0.500 0.000 0.500 In
0.000 0.500 0.000 In
0.500 0.000 0.000 In
0.000 0.500 0.500 In
0.500 0.500 0.000 In
0.000 0.000 0.500 In
0.367 0.878 0.878 Pb
0.878 0.367 0.878 Pb
0.878 0.878 0.878 Pb
0.878 0.878 0.367 Pb
0.122 0.633 0.122 Pb
0.633 0.122 0.122 Pb
0.122 0.122 0.122 Pb
0.122 0.122 0.633 Pb
0.119 0.627 0.627 Pb
0.627 0.119 0.627 Pb
0.627 0.627 0.627 Pb
0.627 0.627 0.119 Pb
0.373 0.881 0.373 Pb
0.881 0.373 0.373 Pb
0.373 0.373 0.373 Pb
0.373 0.373 0.881 Pb


Look up the electronic total energy of the sixth one. -20.4 eV/cell


Which formula does entry 1 have? LiNpSi2


ρ of number 11 (TbNdGePt)? 9.83 g/cm3


The highest M_tot belongs to which entry? BeFe2As